Entry from the Alexandria database: a relaxed structure of Ce4HC2F (PBE).

magnetization	0.00	μB per cell
final energy	-6.832	eV per atom
space-group type	P2/m, No. 10

Structure (CIF):
```
data_Ce4HC2F
_chemical_formula_sum 'Ce4 H1 C2 F1'
_cell_length_a 3.613
_cell_length_b 6.243
_cell_length_c 6.331
_cell_angle_alpha 108.95
_cell_angle_beta 90.00
_cell_angle_gamma 90.00
_space_group_name_H-M_alt 'P 1'
_space_group_IT_number 1
_space_group_name_Hall 'P 1'
loop_
_atom_site_label
_atom_site_fract_x
_atom_site_fract_y
_atom_site_fract_z
C1 0.000 0.500 0.500
C2 0.500 0.000 0.500
Ce1 0.500 0.258 0.264
Ce2 0.000 0.754 0.266
Ce3 0.000 0.246 0.734
Ce4 0.500 0.742 0.736
F1 0.000 0.000 0.000
H1 0.500 0.500 0.000
```

---

Entry from the Alexandria database: a relaxed structure of Cd2TeOs (PBE).

magnetization	0.00	μB per cell
final energy	-3.515	eV per atom
space-group type	Cmm2, No. 35
E_form (uncorrected)	0.535	eV/atom

Structure (CIF):
```
data_Cd2TeOs
_chemical_formula_sum 'Cd2 Te1 Os1'
_cell_length_a 3.082
_cell_length_b 3.082
_cell_length_c 10.775
_cell_angle_alpha 90.00
_cell_angle_beta 90.00
_cell_angle_gamma 120.00
_space_group_name_H-M_alt 'P 1'
_space_group_IT_number 1
_space_group_name_Hall 'P 1'
loop_
_atom_site_label
_atom_site_fract_x
_atom_site_fract_y
_atom_site_fract_z
Os1 0.000 0.000 0.500
Cd1 0.000 0.000 0.023
Cd2 0.500 0.500 0.280
Te1 0.500 0.500 0.697
```

---

Entry from the Alexandria database: a relaxed structure of Sc6CuHg5 (PBE).

magnetization	0.00	μB per cell
ΔE_f	-0.3888	eV per atom
final energy	-4.022	eV per atom
space-group type	Cmmm, No. 65

Structure (CIF):
```
data_Sc6CuHg5
_chemical_formula_sum 'Sc6 Cu1 Hg5'
_cell_length_a 4.918
_cell_length_b 7.026
_cell_length_c 7.786
_cell_angle_alpha 90.00
_cell_angle_beta 71.59
_cell_angle_gamma 90.00
_space_group_name_H-M_alt 'P 1'
_space_group_IT_number 1
_space_group_name_Hall 'P 1'
loop_
_atom_site_label
_atom_site_fract_x
_atom_site_fract_y
_atom_site_fract_z
Cu1 0.000 0.000 0.000
Sc1 0.162 0.757 0.676
Sc2 0.838 0.243 0.324
Sc3 0.838 0.757 0.324
Sc4 0.500 0.761 0.000
Sc5 0.500 0.239 0.000
Sc6 0.162 0.243 0.676
Hg1 0.331 0.500 0.337
Hg2 0.000 0.500 0.000
Hg3 0.665 0.000 0.669
Hg4 0.669 0.500 0.663
Hg5 0.335 0.000 0.331
```

---

Entry from the Alexandria database: a relaxed structure of AgH2Pb2 (PBE).

magnetization	0.00	μB per cell
offset from the most stable computed form	0.0445	eV per atom
final energy	-2.972	eV per atom
space-group type	P4/mbm, No. 127

Structure (CIF):
```
data_AgH2Pb2
_chemical_formula_sum 'Ag2 H4 Pb4'
_cell_length_a 8.020
_cell_length_b 8.020
_cell_length_c 3.391
_cell_angle_alpha 90.00
_cell_angle_beta 90.00
_cell_angle_gamma 90.00
_space_group_name_H-M_alt 'P 1'
_space_group_IT_number 1
_space_group_name_Hall 'P 1'
loop_
_atom_site_label
_atom_site_fract_x
_atom_site_fract_y
_atom_site_fract_z
H1 0.894 0.394 0.500
H2 0.394 0.106 0.500
H3 0.106 0.606 0.500
H4 0.606 0.894 0.500
Pb1 0.288 0.212 0.000
Pb2 0.212 0.712 0.000
Pb3 0.788 0.288 0.000
Pb4 0.712 0.788 0.000
Ag1 0.000 0.000 0.000
Ag2 0.500 0.500 0.000
```